# LiFePO4, optimized geometry, DFT PBE with a Hubbard U
data_LiFePO4
_cell_length_a 5.6194
_cell_length_b 6.3137
_cell_length_c 9.2310
_cell_angle_alpha 75.05
_cell_angle_beta 82.43
_cell_angle_gamma 76.72
_symmetry_space_group_name_H-M 'P -1'
_symmetry_Int_Tables_number 2
_symmetry_space_group_name_Hall '-P 1'
loop_
_atom_site_label
_atom_site_fract_x
_atom_site_fract_y
_atom_site_fract_z
_atom_site_occupancy
Li1 0.1027 0.4746 0.2468 1
Li2 0.3658 0.6302 0.6150 1
Fe1 0.2241 0.8346 0.9135 1
Fe2 0.3311 0.9489 0.2911 1
P1 0.1868 0.1805 0.5778 1
P2 0.3048 0.3029 0.9517 1
O1 0.0717 0.7265 0.3539 1
O2 0.1137 0.1649 0.9423 1
O3 0.1637 0.1799 0.4125 1
O4 0.2111 0.5419 0.8556 1
O5 0.2913 0.9392 0.6731 1
O6 0.3330 0.2907 0.1192 1
O7 0.3817 0.3205 0.5819 1
O8 0.4333 0.7942 0.1109 1
# Size of the total moment in μB/cell: 16.0
# Calculated total energy in eV/cell: -189.8
# Relative energy among the computed polymorphs in kJ/mol of atoms: 5.3